Record 1
Entry from Alexandria: a relaxed structure of CdFeRe2 (GGA-PBE).

Lattice parameters (Å, degrees): 3.9115 2.8030 6.3786 63.91 90.00 90.00
With the nearest neighbours (Å) after each atom.
Element x y z (fractional)
Cd 0.0000 0.4812 0.5122  2 Cd 2.80, 4 Fe 2.83, 6 Re 2.84-2.99
Fe 0.5000 0.7205 0.7724  3 Re 2.50-2.70
Re 0.0000 0.0255 0.0074  6 Re 2.59-2.80, 4 Fe 2.70-2.82, 2 Cd 2.84-2.89
Re 0.5000 0.2729 0.2079  1 Fe 2.50, 4 Re 2.59-2.75

## Properties
energy of formation from the pure elements: 0.394 eV/atom
energy: -8.175 eV/atom
theoretical density: 14.29 g/cm3



Record 2
Entry from Alexandria: a relaxed structure of Cd2FeRe (GGA-PBE).

Lattice parameters (Å, degrees): 2.7326 4.4022 5.5860 90.00 90.00 90.00
With the nearest neighbours (Å) after each atom.
Element x y z (fractional)
Cd 0.0000 0.0000 0.0022  4 Cd 2.73-2.82, 4 Fe 2.94, 4 Re 2.95
Cd 0.0000 0.0000 0.4978  4 Cd 2.73-2.82, 4 Fe 2.94, 4 Re 2.95
Fe 0.5000 0.5000 0.2500  2 Fe 2.73, 2 Re 2.79, 8 Cd 2.94
Re 0.5000 0.5000 0.7500  2 Re 2.73, 2 Fe 2.79, 8 Cd 2.95

## Properties
energy of formation from the pure elements: 0.606 eV/atom
energy: -5.079 eV/atom
theoretical density: 11.54 g/cm3



Record 3
Entry from Alexandria: a relaxed structure of Cd2FeRe (GGA-PBE).

Lattice parameters (Å, degrees): 9.7884 9.7884 9.7884 16.74 16.74 16.74
With the nearest neighbours (Å) after each atom.
Element x y z (fractional)
Cd 0.0066 0.0066 0.0066  6 Cd 2.85, 3 Re 3.03
Cd 0.2396 0.2396 0.2396  6 Cd 2.85, 3 Fe 2.85
Fe 0.4924 0.4924 0.4924  3 Re 2.49
Re 0.7613 0.7613 0.7613  3 Fe 2.49

## Properties
energy of formation from the pure elements: 0.313 eV/atom
energy: -5.373 eV/atom
theoretical density: 11.42 g/cm3



Record 4
Entry from Alexandria: a relaxed structure of CdFeRe2 (GGA-PBE).

Lattice parameters (Å, degrees): 5.6041 5.6041 5.6041 151.33 132.36 56.55
With the nearest neighbours (Å) after each atom.
Element x y z (fractional)
Cd 0.7500 0.2500 0.5000  4 Fe 2.65, 2 Cd 2.78
Fe 0.2500 0.7500 0.5000  4 Re 2.53, 4 Cd 2.65, 2 Fe 2.78
Re 0.0352 0.0352 0.0000  2 Fe 2.53, 6 Re 2.74-2.78
Re 0.4648 0.4648 0.0000  2 Fe 2.53, 6 Re 2.74-2.78

## Properties
energy of formation from the pure elements: 0.397 eV/atom
energy: -8.171 eV/atom
theoretical density: 14.48 g/cm3